1.
VASP calculation (PBE) on crystalline VSnH2 at its relaxed geometry.

Results
Energy = -4.7802 eV/atom
Magnetic moment = 4.0 μB per cell
Calculated density = 6.26 g cm⁻³
Density of states at the Fermi level = 7.71 states/eV/cell

a = 5.761 Å, b = 5.761 Å, c = 5.488 Å
α = 90.00°, β = 90.00°, γ = 90.00°
Space group I-42d (No. 122)
One atom of each set of equivalent atoms:
V 0.000 0.000 0.000 (multiplicity 4)
Sn 0.000 0.000 0.500 (multiplicity 4)
H 0.130 0.250 0.125 (multiplicity 8)

=====

2.
VASP calculation (PBE) on crystalline K2MgHg4 at its relaxed geometry.

Results
Magnetic moment = 0.0 μB per cell
Calculated density = 5.64 g cm⁻³
Density of states at the Fermi level = 10.34 states/eV/cell
Energy of formation from the pure elements = -12.2 kJ/mol of atoms

a = 5.507 Å, b = 5.507 Å, c = 17.568 Å
α = 90.00°, β = 90.00°, γ = 90.00°
Space group I4/mmm (No. 139)
One atom of each set of equivalent atoms:
K 0.000 0.000 0.135 (multiplicity 4)
Mg 0.000 0.000 0.500 (multiplicity 2)
Hg 0.000 0.000 0.335 (multiplicity 4)
Hg 0.000 0.500 0.000 (multiplicity 4)

=====

3.
VASP calculation (PBE) on crystalline Li2Pm2ThGe2 at its relaxed geometry.

Results
Magnetic moment = 0.0 μB per cell
Calculated density = 6.84 g cm⁻³
Density of states at the Fermi level = 11.76 states/eV/cell
Energy of formation from the pure elements = -41.6 kJ/mol of atoms

a = 4.5209 Å, b = 4.5209 Å, c = 28.0488 Å
α = 90.00°, β = 90.00°, γ = 120.00°
Space group R-3m (No. 166, hexagonal axes)
One atom of each set of equivalent atoms:
Li 0.0000 0.0000 0.0990 (multiplicity 6)
Pm 0.0000 0.0000 0.3742 (multiplicity 6)
Th 0.0000 0.0000 0.5000 (multiplicity 3)
Ge 0.0000 0.0000 0.2328 (multiplicity 6)

=====

4.
VASP calculation (PBE) on crystalline Ga3GeI at its relaxed geometry.

Results
Energy = -2.1528 eV/atom
Magnetic moment = 1.4 μB per cell
Calculated density = 3.35 g cm⁻³
Density of states at the Fermi level = 4.50 states/eV/cell

a = 5.873 Å, b = 5.873 Å, c = 5.873 Å
α = 90.00°, β = 90.00°, γ = 90.00°
Space group Pm-3m (No. 221)
One atom of each set of equivalent atoms:
Ga 0.000 0.000 0.500 (multiplicity 3)
Ge 0.500 0.500 0.500 (multiplicity 1)
I 0.000 0.000 0.000 (multiplicity 1)